A plane-wave DFT calculation with GGA-PBE was carried out for Pa2SiP after structural relaxation.

formation energy without anion corrections: -0.8471 eV per atom
spin magnetization: 0.00 μB per cell

Unit cell a=6.971 b=6.971 c=6.971 alpha=33.59 beta=33.59 gamma=33.59
Atoms (fractional coordinates):
Pa1 0.248 0.248 0.248
Pa2 0.752 0.752 0.752
Si1 0.000 0.000 0.000
P1 0.500 0.500 0.500